SCAN LiNb2Ag, single point on PBEsol structure; ρ = 7.27 g/cm3; total energy = -24.344 eV/atom; DFT formation energy = 0.660 eV/atom
1.0
5.014 0.000 0.000
2.507 5.234 0.000
2.507 0.000 5.234
Ag Li Nb
2 2 4
direct
0.000 0.000 0.000
0.750 0.500 0.500
0.250 0.500 0.500
0.500 0.000 0.000
0.133 0.992 0.492
0.617 0.008 0.508
0.875 0.508 0.992
0.375 0.492 0.008